Record 1
Density functional theory data (GGA-PBE) for Mn2FePt after structural relaxation.

Unit cell a=3.727 b=3.727 c=7.609 alpha=90.00 beta=90.00 gamma=90.00
Fractional positions:
1 Mn 0.000 0.000 0.000
2 Mn 0.000 0.500 0.250
3 Mn 0.500 0.000 0.750
4 Mn 0.500 0.500 0.500
5 Fe 0.000 0.000 0.500
6 Fe 0.500 0.500 0.000
7 Pt 0.000 0.500 0.750
8 Pt 0.500 0.000 0.250

**Space-group type**: I-4m2 (119)
**Final energy**: -0.6172 Ry/atom
**Size of the total moment**: 4.92 μB per cell
**ρ**: 11340 kg/m³
**ΔE_f**: -0.19 eV per atom

=====

Record 2
Density functional theory data (GGA-PBE) for MnFe2Pt after structural relaxation.

Unit cell a=2.635 b=2.635 c=25.509 alpha=90.00 beta=90.00 gamma=120.00
Fractional positions:
1 Mn 0.000 0.000 0.000
2 Mn 0.333 0.667 0.667
3 Mn 0.667 0.333 0.333
4 Fe 0.000 0.000 0.254
5 Fe 0.000 0.000 0.746
6 Fe 0.333 0.667 0.412
7 Fe 0.333 0.667 0.921
8 Fe 0.667 0.333 0.079
9 Fe 0.667 0.333 0.588
10 Pt 0.000 0.000 0.500
11 Pt 0.333 0.667 0.167
12 Pt 0.667 0.333 0.833

**Space-group type**: R-3m (166)
**Final energy**: -0.5871 Ry/atom
**Size of the total moment**: 8.17 μB per cell
**ρ**: 11750 kg/m³
**ΔE_f**: 0.05 eV per atom

=====

Record 3
Density functional theory data (GGA-PBE) for MnFe2Pt after structural relaxation.

Unit cell a=2.931 b=2.931 c=6.161 alpha=90.00 beta=90.00 gamma=90.00
Fractional positions:
1 Mn 0.000 0.000 0.000
2 Fe 0.000 0.000 0.544
3 Fe 0.500 0.500 0.759
4 Pt 0.500 0.500 0.273

**Space-group type**: P4mm (99)
**Final energy**: -0.5952 Ry/atom
**Size of the total moment**: 9.01 μB per cell
**ρ**: 11349 kg/m³
**ΔE_f**: -0.06 eV per atom

=====

Record 4
Density functional theory data (GGA-PBE) for Mn2FePt after structural relaxation.

Unit cell a=8.592 b=2.637 c=4.491 alpha=90.00 beta=100.35 gamma=90.00
Fractional positions:
1 Mn 0.246 0.000 0.228
2 Mn 0.254 0.500 0.772
3 Mn 0.746 0.500 0.228
4 Mn 0.754 0.000 0.772
5 Fe 0.000 0.500 0.000
6 Fe 0.500 0.000 0.000
7 Pt 0.000 0.000 0.500
8 Pt 0.500 0.500 0.500

**Space-group type**: C2/m (12)
**Final energy**: -0.6009 Ry/atom
**Size of the total moment**: 2.78 μB per cell
**ρ**: 11969 kg/m³
**ΔE_f**: 0.03 eV per atom